# 1
First-principles (PBE-GGA) data for a geometry-optimized SiPAuC2 structure, as listed in the Alexandria database. Values from VASP.

Quantum ESPRESSO input file:
```
&SYSTEM
  ibrav = 0, nat = 5, ntyp = 4
/
ATOMIC_SPECIES
Si 28.09 Si.upf
P 30.97 P.upf
Au 196.97 Au.upf
C 12.01 C.upf
ATOMIC_POSITIONS angstrom
Si 0.000 0.000 0.000
P 1.825 1.825 2.747
Au 0.000 0.000 2.747
C 0.000 1.825 0.000
C 1.825 0.000 0.000
CELL_PARAMETERS angstrom
3.649 0.000 0.000
0.000 3.649 0.000
0.000 0.000 5.494
```

Properties
uncorrected formation energy = 1.64 eV/atom
total magnetic moment = 0.00 μB per formula unit

---

# 2
First-principles (PBE-GGA) data for a geometry-optimized ZrIn2Ir structure, as listed in the Alexandria database. Values from VASP.

Quantum ESPRESSO input file:
```
&SYSTEM
  ibrav = 0, nat = 4, ntyp = 3
/
ATOMIC_SPECIES
Zr 91.22 Zr.upf
In 114.82 In.upf
Ir 192.22 Ir.upf
ATOMIC_POSITIONS angstrom
Zr 0.000 0.000 0.000
In 0.000 0.000 6.833
In 0.000 0.000 21.433
Ir 0.000 0.000 14.133
CELL_PARAMETERS angstrom
1.579 0.911 9.422
-1.579 0.911 9.422
0.000 -1.823 9.422
```

Properties
energy of formation = 0.010 eV per atom
total magnetic moment = 0.00 μB per formula unit

---

# 3
First-principles (PBE-GGA) data for a geometry-optimized Ba6Sr4Ca structure, as listed in the Alexandria database. Values from VASP.

Quantum ESPRESSO input file:
```
&SYSTEM
  ibrav = 0, nat = 11, ntyp = 3
/
ATOMIC_SPECIES
Ba 137.33 Ba.upf
Sr 87.62 Sr.upf
Ca 40.08 Ca.upf
ATOMIC_POSITIONS angstrom
Ba 3.965 0.000 0.000
Ba 2.557 2.557 -2.528
Ba 1.408 -1.408 12.765
Ba 0.000 3.965 0.000
Ba 1.408 1.408 7.709
Ba -1.408 1.408 12.765
Sr 2.487 -2.487 6.625
Sr 1.478 1.478 3.612
Sr -2.487 2.487 6.625
Sr 2.487 2.487 13.849
Ca 0.000 0.000 0.000
CELL_PARAMETERS angstrom
-3.965 3.965 10.237
3.965 -3.965 10.237
3.965 3.965 -10.237
```

Properties
energy of formation = 0.187 eV per atom
total magnetic moment = 0.00 μB per formula unit